Entry 1:
Here is a geometry-optimized V2ZnGa2 structure from Alexandria. Energies are from PBE. Values from VASP.

Calculated values
Its total magnetic moment is 0.0 μB per formula unit. The calculation puts the density of states at the Fermi level at 8.37 states/eV/cell. The formation energy is 37 meV/atom. The energy above the most stable polymorph in this dataset is 0.0064 eV/atom. The crystal system is tetragonal.

Cell and atoms, written as Quantum ESPRESSO input:
```
&SYSTEM
  ibrav = 0, nat = 10, ntyp = 3
/
ATOMIC_SPECIES
Zn 65.41 Zn.upf
Ga 69.72 Ga.upf
V 50.94 V.upf
CELL_PARAMETERS angstrom
-6.657 -0.389 -0.621
-0.440 -2.424 6.228
-0.303 3.213 1.229
ATOMIC_POSITIONS crystal
Zn 0.500 0.500 0.000
Ga 0.822 0.322 0.500
Ga 0.678 0.822 0.500
Ga 0.322 0.178 0.500
V 0.619 0.119 0.000
V 0.881 0.619 0.000
Zn 0.000 0.000 0.000
Ga 0.178 0.678 0.500
V 0.119 0.381 0.000
V 0.381 0.881 0.000
```

Entry 2:
Here is a geometry-optimized Zr3Mo4 structure from Alexandria. Energies are from PBE. Values from VASP.

Calculated values
Its total magnetic moment is 0.0 μB per formula unit. The calculation puts the density of states at the Fermi level at 5.75 states/eV/cell. The formation energy is -43 meV/atom. The energy above the most stable polymorph in this dataset is 0.0000 eV/atom. The crystal system is tetragonal.

Cell and atoms, written as Quantum ESPRESSO input:
```
&SYSTEM
  ibrav = 0, nat = 7, ntyp = 2
/
ATOMIC_SPECIES
Mo 95.94 Mo.upf
Zr 91.22 Zr.upf
CELL_PARAMETERS angstrom
-0.011 3.176 0.612
-12.468 -1.446 -1.262
-0.665 -0.601 3.108
ATOMIC_POSITIONS crystal
Mo 0.132 0.263 0.868
Zr 0.706 0.412 0.294
Mo 0.574 0.148 0.426
Mo 0.868 0.737 0.132
Zr 0.294 0.588 0.706
Zr 0.000 0.000 0.000
Mo 0.426 0.852 0.574
```

Entry 3:
Here is a geometry-optimized CaSmAs2 structure from Alexandria. Energies are from PBE. Values from VASP.

Calculated values
Its total magnetic moment is 0.0 μB per formula unit. The calculation puts the density of states at the Fermi level at 3.92 states/eV/cell. The formation energy is -1115 meV/atom. The energy above the most stable polymorph in this dataset is 0.0655 eV/atom. The crystal system is trigonal.

Cell and atoms, written as Quantum ESPRESSO input:
```
&SYSTEM
  ibrav = 0, nat = 4, ntyp = 3
/
ATOMIC_SPECIES
As 74.92 As.upf
Ca 40.08 Ca.upf
Sm 150.36 Sm.upf
CELL_PARAMETERS angstrom
-3.505 -2.275 -0.595
0.284 -4.085 -1.023
-1.121 -3.853 6.365
ATOMIC_POSITIONS crystal
As 0.254 0.254 0.238
Ca 0.496 0.496 0.511
Sm 0.669 0.669 0.992
As 0.080 0.080 0.759
```

Entry 4:
Here is a geometry-optimized Pm4Ru structure from Alexandria. Energies are from PBE. Values from VASP.

Calculated values
Its total magnetic moment is 1.1 μB per formula unit. The calculation puts the density of states at the Fermi level at 8.22 states/eV/cell. The formation energy is 15 meV/atom. The energy above the most stable polymorph in this dataset is 0.1056 eV/atom. The crystal system is cubic.

Cell and atoms, written as Quantum ESPRESSO input:
```
&SYSTEM
  ibrav = 0, nat = 5, ntyp = 2
/
ATOMIC_SPECIES
Pm 145.00 Pm.upf
Ru 101.07 Ru.upf
CELL_PARAMETERS angstrom
5.517 0.000 0.000
0.000 5.517 0.000
0.000 0.000 5.517
ATOMIC_POSITIONS crystal
Pm 0.000 0.000 0.000
Pm 0.000 0.500 0.500
Ru 0.500 0.500 0.500
Pm 0.500 0.000 0.500
Pm 0.500 0.500 0.000
```

Entry 5:
Here is a geometry-optimized Th4Sb8Ru3 structure from Alexandria. Energies are from PBE. Values from VASP.

Calculated values
The value obtained for the energy relative to the elements, uncorrected is -0.651 eV per atom. Its total magnetic moment is 0.0 μB per formula unit. The calculation puts the density of states at the Fermi level at 10.48 states/eV/cell. The crystal system is tetragonal.

Cell and atoms, written as Quantum ESPRESSO input:
```
&SYSTEM
  ibrav = 0, nat = 15, ntyp = 3
/
ATOMIC_SPECIES
Th 232.04 Th.upf
Sb 121.76 Sb.upf
Ru 101.07 Ru.upf
CELL_PARAMETERS angstrom
-0.779 4.286 1.073
-4.289 -0.472 -1.229
-4.539 -5.301 17.880
ATOMIC_POSITIONS crystal
Th 0.000 0.500 0.113
Sb 0.000 0.500 0.930
Sb 0.000 0.500 0.422
Th 0.500 0.000 0.887
Ru 0.000 0.000 0.500
Sb 0.500 0.500 0.246
Sb 0.500 0.500 0.754
Sb 0.500 0.000 0.070
Sb 0.000 0.000 0.753
Th 0.000 0.500 0.619
Ru 0.000 0.000 0.000
Sb 0.000 0.000 0.247
Th 0.500 0.000 0.381
Ru 0.500 0.500 0.500
Sb 0.500 0.000 0.578
```

Entry 6:
Here is a geometry-optimized Ni2AsWAu structure from Alexandria. Energies are from PBE. Values from VASP.

Calculated values
Its total magnetic moment is 2.7 μB per formula unit. The calculation puts the density of states at the Fermi level at 4.20 states/eV/cell. The formation energy is 1123 meV/atom. The crystal system is tetragonal.

Cell and atoms, written as Quantum ESPRESSO input:
```
&SYSTEM
  ibrav = 0, nat = 5, ntyp = 4
/
ATOMIC_SPECIES
Au 196.97 Au.upf
W 183.84 W.upf
Ni 58.69 Ni.upf
As 74.92 As.upf
CELL_PARAMETERS angstrom
4.284 0.000 0.000
0.000 4.284 0.000
0.000 0.000 4.839
ATOMIC_POSITIONS crystal
Au 0.000 0.000 0.500
W 0.500 0.500 0.500
Ni 0.500 0.000 0.000
As 0.000 0.000 0.000
Ni 0.000 0.500 0.000
```